The following is a PBE with a Hubbard U calculation of crystalline Tl2CrCdO4 at its relaxed geometry, from Alexandria via LeMat-Bulk.

CIF file:
```
data_Tl2CrCdO4
_cell_length_a 6.6515
_cell_length_b 10.8602
_cell_length_c 20.2675
_cell_angle_alpha 90.00
_cell_angle_beta 90.00
_cell_angle_gamma 90.00
_symmetry_space_group_name_H-M 'F d d d'
_symmetry_Int_Tables_number 70
loop_
_symmetry_equiv_pos_as_xyz
'x,y,z'
'-x,-y,-z'
'-x+1/4,-y+1/4,z'
'x+1/4,y+1/4,-z'
'x,-y+1/4,-z+1/4'
'-x,y+1/4,z+1/4'
'-x+1/4,y,-z+1/4'
'x+1/4,-y,z+1/4'
'x,y+1/2,z+1/2'
'-x,-y+1/2,-z+1/2'
'-x+1/4,-y+3/4,z+1/2'
'x+1/4,y+3/4,-z+1/2'
'x,-y+3/4,-z+3/4'
'-x,y+3/4,z+3/4'
'-x+1/4,y+1/2,-z+3/4'
'x+1/4,-y+1/2,z+3/4'
'x+1/2,y,z+1/2'
'-x+1/2,-y,-z+1/2'
'-x+3/4,-y+1/4,z+1/2'
'x+3/4,y+1/4,-z+1/2'
'x+1/2,-y+1/4,-z+3/4'
'-x+1/2,y+1/4,z+3/4'
'-x+3/4,y,-z+3/4'
'x+3/4,-y,z+3/4'
'x+1/2,y+1/2,z'
'-x+1/2,-y+1/2,-z'
'-x+3/4,-y+3/4,z'
'x+3/4,y+3/4,-z'
'x+1/2,-y+3/4,-z+1/4'
'-x+1/2,y+3/4,z+1/4'
'-x+3/4,y+1/2,-z+1/4'
'x+3/4,-y+1/2,z+1/4'
loop_
_atom_site_label
_atom_site_fract_x
_atom_site_fract_y
_atom_site_fract_z
Tl1 0.1250 0.1250 0.3176
Cr1 0.1250 0.1250 0.6250
Cd1 0.1250 0.1250 0.1250
O1 0.0257 0.2839 0.8298
```

The total energy is -4.929 eV/atom.


The following is a PBE with a Hubbard U calculation of crystalline TlCr2CdO8 at its relaxed geometry, from Alexandria via LeMat-Bulk.

CIF file:
```
data_TlCr2CdO8
_cell_length_a 5.7837
_cell_length_b 5.7837
_cell_length_c 6.8060
_cell_angle_alpha 90.00
_cell_angle_beta 90.00
_cell_angle_gamma 120.00
_symmetry_space_group_name_H-M 'P -3 m 1'
_symmetry_Int_Tables_number 164
_symmetry_space_group_name_Hall '-P 3 2"'
loop_
_atom_site_label
_atom_site_fract_x
_atom_site_fract_y
_atom_site_fract_z
Tl1 0.0000 0.0000 0.0000
Cr1 0.3333 0.6667 0.2009
Cd1 0.0000 0.0000 0.5000
O1 0.1719 0.3437 0.2751
O2 0.3333 0.6667 0.9641
```

The total energy is -5.875 eV/atom.